No. 1
Density functional theory data (PBE) for ReP2Au after structural relaxation.

Values from the calculation:
Formation energy from the elements = 0.383 eV per atom
VASP energy = -25.01 eV per formula unit
Energy above the most stable polymorph in this dataset = 1.66 eV per formula unit

```
data_ReP2Au
_symmetry_space_group_name_H-M 'C m m m'
_symmetry_Int_Tables_number 65
_symmetry_space_group_name_Hall '-C 2 2'
_cell_length_a 2.900
_cell_length_b 4.797
_cell_length_c 10.343
_cell_angle_alpha 90.00
_cell_angle_beta 90.00
_cell_angle_gamma 90.00
loop_
_atom_site_label
_atom_site_fract_x
_atom_site_fract_y
_atom_site_fract_z
_atom_site_occupancy
Re1 0.000 0.000 0.000 1
P1 0.000 0.500 0.189 1
Au1 0.000 0.000 0.500 1
```

No. 2
Density functional theory data (PBE) for Re3PAu after structural relaxation.

Values from the calculation:
Formation energy from the elements = 0.945 eV per atom
VASP energy = -41.31 eV per formula unit
Energy above the most stable polymorph in this dataset = 0.00 eV per formula unit

```
data_Re3PAu
_symmetry_space_group_name_H-M 'P m -3 m'
_symmetry_Int_Tables_number 221
_symmetry_space_group_name_Hall '-P 4 2 3'
_cell_length_a 4.380
_cell_length_b 4.380
_cell_length_c 4.380
_cell_angle_alpha 90.00
_cell_angle_beta 90.00
_cell_angle_gamma 90.00
loop_
_atom_site_label
_atom_site_fract_x
_atom_site_fract_y
_atom_site_fract_z
_atom_site_occupancy
Re1 0.000 0.000 0.500 1
P1 0.000 0.000 0.000 1
Au1 0.500 0.500 0.500 1
```

No. 3
Density functional theory data (PBE) for RePAu after structural relaxation.

Values from the calculation:
Formation energy from the elements = 0.256 eV per atom
VASP energy = -20.37 eV per formula unit
Energy above the most stable polymorph in this dataset = 0.31 eV per formula unit

```
data_RePAu
_symmetry_space_group_name_H-M 'I 4 m m'
_symmetry_Int_Tables_number 107
_symmetry_space_group_name_Hall 'I 4 -2'
_cell_length_a 3.057
_cell_length_b 3.057
_cell_length_c 10.065
_cell_angle_alpha 90.00
_cell_angle_beta 90.00
_cell_angle_gamma 90.00
loop_
_atom_site_label
_atom_site_fract_x
_atom_site_fract_y
_atom_site_fract_z
_atom_site_occupancy
Re1 0.000 0.000 0.000 1
P1 0.000 0.000 0.607 1
Au1 0.000 0.000 0.298 1
```

No. 4
Density functional theory data (PBE) for RePAu2 after structural relaxation.

Values from the calculation:
Formation energy from the elements = 0.773 eV per atom
VASP energy = -21.32 eV per formula unit

```
data_RePAu2
_symmetry_space_group_name_H-M 'P 4/m m m'
_symmetry_Int_Tables_number 123
_symmetry_space_group_name_Hall '-P 4 2'
_cell_length_a 5.046
_cell_length_b 5.046
_cell_length_c 2.685
_cell_angle_alpha 90.00
_cell_angle_beta 90.00
_cell_angle_gamma 90.00
loop_
_atom_site_label
_atom_site_fract_x
_atom_site_fract_y
_atom_site_fract_z
_atom_site_occupancy
Re1 0.000 0.000 0.000 1
P1 0.500 0.500 0.000 1
Au1 0.000 0.500 0.500 1
```

No. 5
Density functional theory data (PBE) for ReP3Au after structural relaxation.

Values from the calculation:
Formation energy from the elements = 1.866 eV per atom
VASP energy = -22.63 eV per formula unit
Energy above the most stable polymorph in this dataset = 5.77 eV per formula unit

```
data_ReP3Au
_symmetry_space_group_name_H-M 'P m -3 m'
_symmetry_Int_Tables_number 221
_symmetry_space_group_name_Hall '-P 4 2 3'
_cell_length_a 4.722
_cell_length_b 4.722
_cell_length_c 4.722
_cell_angle_alpha 90.00
_cell_angle_beta 90.00
_cell_angle_gamma 90.00
loop_
_atom_site_label
_atom_site_fract_x
_atom_site_fract_y
_atom_site_fract_z
_atom_site_occupancy
Re1 0.000 0.000 0.000 1
P1 0.000 0.500 0.500 1
Au1 0.500 0.500 0.500 1
```

No. 6
Density functional theory data (PBE) for ReP2AuS after structural relaxation.

Values from the calculation:
VASP energy = -27.28 eV per formula unit
Energy above the most stable polymorph in this dataset = 0.00 eV per formula unit
Formation energy (no corrections) = 0.6785 eV/atom

```
data_ReP2AuS
_symmetry_space_group_name_H-M 'P 4/m m m'
_symmetry_Int_Tables_number 123
_symmetry_space_group_name_Hall '-P 4 2'
_cell_length_a 4.742
_cell_length_b 4.742
_cell_length_c 4.440
_cell_angle_alpha 90.00
_cell_angle_beta 90.00
_cell_angle_gamma 90.00
loop_
_atom_site_label
_atom_site_fract_x
_atom_site_fract_y
_atom_site_fract_z
_atom_site_occupancy
Re1 0.000 0.000 0.000 1
P1 0.000 0.500 0.000 1
Au1 0.500 0.500 0.500 1
S1 0.000 0.000 0.500 1
```

Copy entry 5 word for word.
Density functional theory data (PBE) for ReP3Au after structural relaxation.

Values from the calculation:
Formation energy from the elements = 1.866 eV per atom
VASP energy = -22.63 eV per formula unit
Energy above the most stable polymorph in this dataset = 5.77 eV per formula unit

```
data_ReP3Au
_symmetry_space_group_name_H-M 'P m -3 m'
_symmetry_Int_Tables_number 221
_symmetry_space_group_name_Hall '-P 4 2 3'
_cell_length_a 4.722
_cell_length_b 4.722
_cell_length_c 4.722
_cell_angle_alpha 90.00
_cell_angle_beta 90.00
_cell_angle_gamma 90.00
loop_
_atom_site_label
_atom_site_fract_x
_atom_site_fract_y
_atom_site_fract_z
_atom_site_occupancy
Re1 0.000 0.000 0.000 1
P1 0.000 0.500 0.500 1
Au1 0.500 0.500 0.500 1
```

Among the records above, which one has the highest VASP energy? RePAu

Among the records above, which one has the highest VASP energy? RePAu